Entry from the Open Quantum Materials Database: crystalline LaPr2Ni2B2N3 at its relaxed geometry (GGA-PBE).

calculated total energy: -7.414 eV per atom

Lattice parameters (Å, degrees): 10.501 10.501 10.501 159.79 159.79 28.74
Positions (direct):
La 0.000 0.000 0.000
Pr 0.372 0.372 0.000
Pr 0.628 0.628 0.000
Ni 0.250 0.750 0.500
Ni 0.750 0.250 0.500
B 0.196 0.196 0.000
B 0.804 0.804 0.000
N 0.125 0.125 0.000
N 0.500 0.500 0.000
N 0.875 0.875 0.000

=====

Entry from the Open Quantum Materials Database: crystalline LaSm2Ni2B2N3 at its relaxed geometry (GGA-PBE).

calculated total energy: -7.457 eV per atom

Lattice parameters (Å, degrees): 10.563 10.563 10.563 160.36 160.36 27.91
Positions (direct):
La 0.000 0.000 0.000
Sm 0.373 0.373 0.000
Sm 0.627 0.627 0.000
Ni 0.250 0.750 0.500
Ni 0.750 0.250 0.500
B 0.193 0.193 0.000
B 0.807 0.807 0.000
N 0.123 0.123 0.000
N 0.500 0.500 0.000
N 0.877 0.877 0.000

=====

Entry from the Open Quantum Materials Database: crystalline La2SmNi2B2N3 at its relaxed geometry (GGA-PBE).

calculated total energy: -7.461 eV per atom

Lattice parameters (Å, degrees): 10.302 10.302 10.302 159.32 159.32 29.41
Positions (direct):
La 0.128 0.128 0.000
La 0.872 0.872 0.000
Sm 0.500 0.500 0.000
Ni 0.250 0.750 0.500
Ni 0.750 0.250 0.500
B 0.304 0.304 0.000
B 0.696 0.696 0.000
N 0.000 0.000 0.000
N 0.377 0.377 0.000
N 0.623 0.623 0.000

=====

Entry from the Open Quantum Materials Database: crystalline La2TbNi2B2N3 at its relaxed geometry (GGA-PBE).

calculated total energy: -7.468 eV per atom

Lattice parameters (Å, degrees): 10.211 10.211 10.211 159.23 159.23 29.54
Positions (direct):
La 0.127 0.127 0.000
La 0.873 0.873 0.000
Tb 0.500 0.500 0.000
Ni 0.250 0.750 0.500
Ni 0.750 0.250 0.500
B 0.305 0.305 0.000
B 0.695 0.695 0.000
N 0.000 0.000 0.000
N 0.379 0.379 0.000
N 0.621 0.621 0.000

=====

| no. | total magnetic moment (μB/atom) |
| --- | --- |
| 1 | 0.000 |
| 2 | 0.000 |
| 3 | 0.000 |
| 4 | 0.000 |